# 1
Computed, not measured: an optimized crystal structure of MoP2Rh at the PBE-GGA level of DFT.

```
4
Lattice="4.3173 -1.5431 0.0000 4.3173 1.5431 0.0000 -1.0058 0.0000 4.1270" Properties=species:S:1:pos:R:3 pbc="T T T"
Mo 0.0000 0.0000 0.0000
P 1.4157 0.0000 3.7315
P 3.8900 0.0000 2.1913
Rh 6.2181 0.0000 1.7034
```

Output
Total magnetization   0.000 Bohr magnetons per cell
E_tot   -30.536 eV/cell
DFT formation energy   -0.38 eV/atom



# 2
Computed, not measured: an optimized crystal structure of Mo2PRh at the PBE-GGA level of DFT.

```
4
Lattice="2.9409 0.0000 0.0000 0.0000 2.9409 0.0000 0.0000 0.0000 6.7394" Properties=species:S:1:pos:R:3 pbc="T T T"
Mo 0.0000 0.0000 0.0000
Mo 1.4705 1.4705 1.9684
P 0.0000 0.0000 3.2428
Rh 1.4705 1.4705 4.9158
```

Output
Total magnetization   0.000 Bohr magnetons per cell
E_tot   -35.018 eV/cell
DFT formation energy   -0.15 eV/atom



# 3
Computed, not measured: an optimized crystal structure of Mo2PRh at the PBE-GGA level of DFT.

```
4
Lattice="3.9638 0.0000 0.0000 0.0000 1.4283 5.1027 0.0000 -1.4283 5.1027" Properties=species:S:1:pos:R:3 pbc="T T T"
Mo 0.0000 0.0000 0.0000
Mo 1.9819 0.0000 3.6520
P 1.9819 0.0000 6.1385
Rh 0.0000 0.0000 7.4550
```

Output
Total magnetization   0.000 Bohr magnetons per cell
E_tot   -35.352 eV/cell
DFT formation energy   -0.23 eV/atom



# 4
Computed, not measured: an optimized crystal structure of Mo3PRh at the PBE-GGA level of DFT.

```
5
Lattice="4.4043 0.0000 0.0000 0.0000 4.4043 0.0000 0.0000 0.0000 4.4043" Properties=species:S:1:pos:R:3 pbc="T T T"
Mo 0.0000 0.0000 2.2021
Mo 0.0000 2.2021 0.0000
Mo 2.2021 0.0000 0.0000
P 0.0000 0.0000 0.0000
Rh 2.2021 2.2021 2.2021
```

Output
Distance to the lowest polymorph of the same formula   0.000 eV per atom
Total magnetization   0.000 Bohr magnetons per cell
E_tot   -42.009 eV/cell
DFT formation energy   0.65 eV/atom



# 5
Computed, not measured: an optimized crystal structure of MoP2Rh at the PBE-GGA level of DFT.

```
4
Lattice="3.0263 0.0000 0.0000 0.0000 3.0127 0.0000 -0.0285 0.0000 5.9315" Properties=species:S:1:pos:R:3 pbc="T T T"
Mo 0.0000 0.0000 0.0000
P 1.4844 1.5064 4.5237
P 1.5134 1.5064 1.4079
Rh -0.0142 0.0000 2.9658
```

Output
Total magnetization   0.000 Bohr magnetons per cell
E_tot   -30.274 eV/cell
DFT formation energy   -0.32 eV/atom



# 6
Computed, not measured: an optimized crystal structure of MoP2Rh at the PBE-GGA level of DFT.

```
4
Lattice="1.5770 -2.4941 0.0000 1.5770 2.4941 0.0000 0.0000 0.0000 7.3763" Properties=species:S:1:pos:R:3 pbc="T T T"
Mo 0.0000 0.0000 0.0000
P 1.5770 0.0000 1.8658
P 1.5770 0.0000 5.5105
Rh 0.0000 0.0000 3.6881
```

Output
Total magnetization   0.000 Bohr magnetons per cell
E_tot   -28.935 eV/cell
DFT formation energy   0.02 eV/atom



# 7
Computed, not measured: an optimized crystal structure of MoP2Rh at the PBE-GGA level of DFT.

```
4
Lattice="0.0000 3.0626 3.0626 3.0626 0.0000 3.0626 3.0626 3.0626 0.0000" Properties=species:S:1:pos:R:3 pbc="T T T"
Mo 0.0000 0.0000 0.0000
P 3.0626 3.0626 3.0626
P 4.5939 4.5939 4.5939
Rh 1.5313 1.5313 1.5313
```

Output
Total magnetization   0.001 Bohr magnetons per cell
E_tot   -27.869 eV/cell
DFT formation energy   0.28 eV/atom



# 8
Computed, not measured: an optimized crystal structure of Mo2PRh at the PBE-GGA level of DFT.

```
4
Lattice="-1.4605 2.2003 4.4436 1.4605 -2.2003 4.4436 1.4605 2.2003 -4.4436" Properties=species:S:1:pos:R:3 pbc="T T T"
Mo 0.0000 0.0000 0.0000
Mo 0.0000 2.2003 1.8563
P 0.0000 0.0000 4.3569
Rh 1.4605 0.0000 2.4668
```

Output
Total magnetization   0.000 Bohr magnetons per cell
E_tot   -35.573 eV/cell
DFT formation energy   -0.29 eV/atom



# 9
Computed, not measured: an optimized crystal structure of Mo2PRh at the PBE-GGA level of DFT.

```
4
Lattice="-1.8903 1.8903 4.0366 1.8903 -1.8903 4.0366 1.8903 1.8903 -4.0366" Properties=species:S:1:pos:R:3 pbc="T T T"
Mo 0.0000 0.0000 0.0000
Mo 0.0000 1.8903 2.0183
P 1.8903 0.0000 2.0183
Rh 0.0000 0.0000 4.0366
```

Output
Total magnetization   0.000 Bohr magnetons per cell
E_tot   -34.534 eV/cell
DFT formation energy   -0.03 eV/atom



# 10
Computed, not measured: an optimized crystal structure of Mo3PRh at the PBE-GGA level of DFT.

```
5
Lattice="4.6940 0.0000 0.0000 0.0000 4.6940 0.0000 0.0000 0.0000 4.6940" Properties=species:S:1:pos:R:3 pbc="T T T"
Mo 0.0000 0.0000 2.3470
Mo 0.0000 2.3470 0.0000
Mo 2.3470 0.0000 0.0000
P 2.3470 2.3470 2.3470
Rh 0.0000 0.0000 0.0000
```

Output
Distance to the lowest polymorph of the same formula   1.195 eV per atom
Total magnetization   0.001 Bohr magnetons per cell
E_tot   -36.035 eV/cell
DFT formation energy   1.84 eV/atom



# 11
Computed, not measured: an optimized crystal structure of MoP2Rh at the PBE-GGA level of DFT.

```
4
Lattice="-1.5244 2.0008 4.6514 1.5244 -2.0008 4.6514 1.5244 2.0008 -4.6514" Properties=species:S:1:pos:R:3 pbc="T T T"
Mo 0.0000 0.0000 0.0000
P 1.5244 0.0000 2.0547
P 0.0000 0.0000 4.6904
Rh 0.0000 2.0008 2.0418
```

Output
Total magnetization   0.000 Bohr magnetons per cell
E_tot   -29.783 eV/cell
DFT formation energy   -0.20 eV/atom



# 12
Computed, not measured: an optimized crystal structure of MoPRh4 at the PBE-GGA level of DFT.

```
6
Lattice="0.0000 3.5880 3.5880 3.5880 0.0000 3.5880 3.5880 3.5880 0.0000" Properties=species:S:1:pos:R:3 pbc="T T T"
Mo 0.0000 0.0000 0.0000
P 5.3820 5.3820 5.3820
Rh 2.6891 2.6891 2.6891
Rh 4.4868 4.4868 2.6891
Rh 4.4868 2.6891 4.4868
Rh 2.6891 4.4868 4.4868
```

Output
Total magnetization   0.003 Bohr magnetons per cell
E_tot   -42.676 eV/cell
DFT formation energy   0.50 eV/atom